{"formula": "Pm2Cu3Si5", "functional": "PBE-GGA", "state": "relaxed", "m_tot_mub_per_cell": 0.00, "n_ef_per_ev_fu": 2.32, "crystal_system": "monoclinic", "total_energy_ev_per_atom": -5.348, "raw_formation_energy_mev_per_atom": -457, "spacegroup": "C2/c (15)", "lattice": [[5.504, -0.005, 2.005], [3.006, 7.570, 0.271], [0.135, -0.484, 8.134]], "species": ["Pm", "Pm", "Pm", "Pm", "Cu", "Cu", "Cu", "Cu", "Cu", "Cu", "Si", "Si", "Si", "Si", "Si", "Si", "Si", "Si", "Si", "Si"], "fractional_positions": [[0.257, 0.868, 0.620], [0.243, 0.380, 0.132], [0.743, 0.132, 0.380], [0.757, 0.620, 0.868], [0.126, 0.245, 0.509], [0.374, 0.491, 0.755], [0.874, 0.755, 0.491], [0.626, 0.509, 0.245], [0.250, 0.003, 0.997], [0.750, 0.997, 0.003], [0.357, 0.022, 0.257], [0.143, 0.743, 0.978], [0.643, 0.978, 0.743], [0.857, 0.257, 0.022], [0.250, 0.239, 0.761], [0.750, 0.761, 0.239], [0.250, 0.502, 0.498], [0.750, 0.498, 0.502], [0.250, 0.757, 0.243], [0.750, 0.243, 0.757]]}



{"formula": "Pm3Cu2Si4", "functional": "PBE-GGA", "state": "relaxed", "m_tot_mub_per_cell": 0.00, "n_ef_per_ev_fu": 3.71, "crystal_system": "monoclinic", "total_energy_ev_per_atom": -5.633, "raw_formation_energy_mev_per_atom": -729, "spacegroup": "C2/m (12)", "lattice": [[4.084, 0.000, 0.000], [-2.042, 5.452, 0.271], [0.000, -1.778, 7.991]], "species": ["Pm", "Pm", "Pm", "Cu", "Cu", "Si", "Si", "Si", "Si"], "fractional_positions": [[0.662, 0.325, 0.668], [0.000, 0.000, 0.000], [0.338, 0.675, 0.332], [0.611, 0.222, 0.281], [0.389, 0.778, 0.719], [0.718, 0.436, 0.060], [0.282, 0.564, 0.940], [0.941, 0.882, 0.612], [0.059, 0.118, 0.388]]}



{"formula": "Pm4Cu3Si", "functional": "PBE-GGA", "state": "relaxed", "m_tot_mub_per_cell": 0.00, "n_ef_per_ev_fu": 8.52, "crystal_system": "orthorhombic", "total_energy_ev_per_atom": -4.901, "raw_formation_energy_mev_per_atom": -312, "spacegroup": "Pmm2 (25)", "lattice": [[4.124, 0.000, 0.000], [0.000, 4.260, 0.000], [0.000, 0.000, 10.694]], "species": ["Pm", "Pm", "Pm", "Pm", "Cu", "Cu", "Cu", "Si"], "fractional_positions": [[0.500, 0.500, 0.354], [0.000, 0.500, 0.855], [0.000, 0.000, 0.144], [0.500, 0.000, 0.641], [0.000, 0.500, 0.565], [0.000, 0.000, 0.434], [0.500, 0.000, 0.937], [0.500, 0.500, 0.069]]}



{"formula": "PmCu2Si", "functional": "PBE-GGA", "state": "relaxed", "m_tot_mub_per_cell": 0.00, "n_ef_per_ev_fu": 2.07, "crystal_system": "cubic", "polymorph_energy_mev_per_atom": 180.6, "total_energy_ev_per_atom": -4.807, "raw_formation_energy_mev_per_atom": -215, "spacegroup": "Fm-3m (225)", "lattice": [[4.567, 0.000, 0.000], [2.284, 3.955, 0.000], [2.284, 1.318, 3.729]], "species": ["Si", "Cu", "Cu", "Pm"], "fractional_positions": [[0.500, 0.500, 0.500], [0.250, 0.250, 0.250], [0.750, 0.750, 0.750], [0.000, 0.000, 0.000]]}



{"formula": "Pm4CuSi3", "functional": "PBE-GGA", "state": "relaxed", "m_tot_mub_per_cell": 0.21, "n_ef_per_ev_fu": 5.93, "crystal_system": "orthorhombic", "total_energy_ev_per_atom": -5.541, "raw_formation_energy_mev_per_atom": -620, "spacegroup": "Pmm2 (25)", "lattice": [[4.331, 0.000, 0.000], [0.000, 3.982, 0.000], [0.000, 0.000, 11.041]], "species": ["Pm", "Pm", "Pm", "Pm", "Cu", "Si", "Si", "Si"], "fractional_positions": [[0.500, 0.500, 0.361], [0.000, 0.500, 0.860], [0.000, 0.000, 0.141], [0.500, 0.000, 0.642], [0.500, 0.500, 0.062], [0.000, 0.500, 0.572], [0.000, 0.000, 0.433], [0.500, 0.000, 0.929]]}



{"formula": "Pm3CuSi", "functional": "PBE-GGA", "state": "relaxed", "m_tot_mub_per_cell": 0.00, "n_ef_per_ev_fu": 5.90, "crystal_system": "triclinic", "total_energy_ev_per_atom": -5.072, "raw_formation_energy_mev_per_atom": -318, "spacegroup": "P-1 (2)", "lattice": [[4.320, -0.006, -0.007], [-2.173, 7.006, 0.293], [-0.015, 0.040, 8.561]], "species": ["Pm", "Pm", "Pm", "Pm", "Pm", "Pm", "Cu", "Cu", "Si", "Si"], "fractional_positions": [[0.078, 0.187, 0.404], [0.426, 0.876, 0.628], [0.618, 0.279, 0.793], [0.965, 0.967, 0.018], [0.255, 0.544, 0.035], [0.789, 0.610, 0.387], [0.227, 0.492, 0.654], [0.818, 0.663, 0.768], [0.438, 0.909, 0.269], [0.605, 0.245, 0.153]]}



{"formula": "Pm3Cu3Si", "functional": "PBE-GGA", "state": "relaxed", "m_tot_mub_per_cell": 0.00, "n_ef_per_ev_fu": 5.39, "crystal_system": "monoclinic", "total_energy_ev_per_atom": -4.907, "raw_formation_energy_mev_per_atom": -341, "spacegroup": "C2/m (12)", "lattice": [[4.139, 0.000, 0.623], [2.048, 5.209, 0.456], [-0.008, -0.105, 14.101]], "species": ["Pm", "Pm", "Pm", "Pm", "Pm", "Pm", "Cu", "Cu", "Cu", "Cu", "Cu", "Cu", "Si", "Si"], "fractional_positions": [[0.541, 0.310, 0.608], [0.459, 0.690, 0.392], [0.242, 0.279, 0.237], [0.758, 0.721, 0.763], [0.401, 0.280, 0.919], [0.599, 0.720, 0.081], [0.858, 0.744, 0.540], [0.142, 0.256, 0.460], [0.104, 0.870, 0.922], [0.896, 0.130, 0.078], [0.949, 0.865, 0.237], [0.051, 0.135, 0.763], [0.752, 0.104, 0.392], [0.248, 0.896, 0.608]]}



{"formula": "PmCu3Si", "functional": "PBE-GGA", "state": "relaxed", "m_tot_mub_per_cell": 0.00, "n_ef_per_ev_fu": 2.24, "crystal_system": "tetragonal", "polymorph_energy_mev_per_atom": 380.2, "total_energy_ev_per_atom": -4.388, "raw_formation_energy_mev_per_atom": 105, "spacegroup": "I-4m2 (119)", "lattice": [[4.498, 0.000, 0.000], [0.000, 4.498, 0.000], [-2.249, -2.249, 10.459]], "species": ["Pm", "Pm", "Cu", "Cu", "Cu", "Cu", "Cu", "Cu", "Si", "Si"], "fractional_positions": [[0.000, 0.000, 0.000], [0.250, 0.750, 0.500], [0.625, 0.874, 0.748], [0.126, 0.876, 0.252], [0.126, 0.375, 0.252], [0.124, 0.874, 0.748], [0.358, 0.358, 0.716], [0.642, 0.642, 0.284], [0.609, 0.109, 0.217], [0.891, 0.391, 0.783]]}



{"formula": "Pm2Cu2Si3", "functional": "PBE-GGA", "state": "relaxed", "m_tot_mub_per_cell": 0.00, "n_ef_per_ev_fu": 2.74, "crystal_system": "monoclinic", "polymorph_energy_mev_per_atom": 162.8, "total_energy_ev_per_atom": -5.326, "raw_formation_energy_mev_per_atom": -474, "spacegroup": "C2/m (12)", "lattice": [[4.143, 0.000, 0.000], [-2.072, 5.077, -0.018], [0.000, -2.364, 6.111]], "species": ["Pm", "Pm", "Cu", "Cu", "Si", "Si", "Si"], "fractional_positions": [[0.856, 0.711, 0.213], [0.144, 0.289, 0.787], [0.839, 0.678, 0.698], [0.161, 0.322, 0.302], [0.500, 0.000, 0.000], [0.595, 0.189, 0.432], [0.405, 0.811, 0.568]]}



{"formula": "PmSmCu2Si2", "functional": "PBE-GGA", "state": "relaxed", "m_tot_mub_per_cell": 0.00, "n_ef_per_ev_fu": 1.96, "crystal_system": "trigonal", "total_energy_ev_per_atom": -5.390, "raw_formation_energy_mev_per_atom": -638, "spacegroup": "P-3m1 (164)", "lattice": [[4.203, 0.000, 0.000], [-2.101, 3.640, 0.000], [0.000, 0.000, 7.771]], "species": ["Pm", "Sm", "Cu", "Cu", "Si", "Si"], "fractional_positions": [[0.000, 0.000, 0.000], [0.000, 0.000, 0.500], [0.333, 0.667, 0.748], [0.667, 0.333, 0.252], [0.333, 0.667, 0.252], [0.667, 0.333, 0.748]]}



{"formula": "PmSm2Cu2Si2", "functional": "PBE-GGA", "state": "relaxed", "m_tot_mub_per_cell": 0.02, "n_ef_per_ev_fu": 8.18, "crystal_system": "trigonal", "total_energy_ev_per_atom": -5.226, "raw_formation_energy_mev_per_atom": -479, "spacegroup": "R-3m (166)", "lattice": [[4.121, 0.000, 0.000], [2.060, 3.569, 0.000], [2.060, 1.190, 11.059]], "species": ["Pm", "Sm", "Sm", "Cu", "Cu", "Si", "Si"], "fractional_positions": [[0.000, 0.000, 0.000], [0.119, 0.119, 0.642], [0.881, 0.881, 0.358], [0.605, 0.605, 0.186], [0.395, 0.395, 0.814], [0.728, 0.728, 0.815], [0.272, 0.272, 0.185]]}



{"formula": "SrPmCu2Si2", "functional": "PBE-GGA", "state": "relaxed", "m_tot_mub_per_cell": 0.00, "n_ef_per_ev_fu": 2.36, "crystal_system": "trigonal", "total_energy_ev_per_atom": -4.743, "raw_formation_energy_mev_per_atom": -498, "spacegroup": "P-3m1 (164)", "lattice": [[-0.988, -3.502, 2.005], [2.835, -0.074, -3.036], [6.217, 1.548, 5.767]], "species": ["Sr", "Pm", "Cu", "Cu", "Si", "Si"], "fractional_positions": [[0.000, 0.000, 0.500], [0.000, 0.000, 0.000], [0.667, 0.333, 0.767], [0.333, 0.667, 0.233], [0.667, 0.333, 0.232], [0.333, 0.667, 0.768]]}



{"formula": "TbPmCuSi", "functional": "PBE-GGA", "state": "relaxed", "m_tot_mub_per_cell": 0.00, "n_ef_per_ev_fu": 3.26, "crystal_system": "cubic", "polymorph_energy_mev_per_atom": 92.4, "total_energy_ev_per_atom": -5.128, "raw_formation_energy_mev_per_atom": -403, "spacegroup": "F-43m (216)", "lattice": [[-0.872, 4.494, -2.050], [-4.486, 1.015, -2.002], [-3.086, 3.237, 2.272]], "species": ["Si", "Tb", "Cu", "Pm"], "fractional_positions": [[0.750, 0.750, 0.750], [0.000, 0.000, 0.000], [0.250, 0.250, 0.250], [0.500, 0.500, 0.500]]}



{"formula": "TbPmCuSi", "functional": "PBE-GGA", "state": "relaxed", "m_tot_mub_per_cell": 0.00, "n_ef_per_ev_fu": 3.85, "crystal_system": "orthorhombic", "polymorph_energy_mev_per_atom": 0.0, "total_energy_ev_per_atom": -5.220, "raw_formation_energy_mev_per_atom": -495, "spacegroup": "Amm2 (38)", "lattice": [[4.113, 0.000, 0.000], [0.000, 4.111, 0.000], [-2.056, 0.000, 5.475]], "species": ["Tb", "Pm", "Cu", "Si"], "fractional_positions": [[0.136, 0.000, 0.272], [0.856, 0.500, 0.711], [0.438, 0.000, 0.876], [0.571, 0.500, 0.141]]}



{"formula": "Pm2ThCu2Si2", "functional": "PBE-GGA", "state": "relaxed", "m_tot_mub_per_cell": 1.35, "n_ef_per_ev_fu": 8.23, "crystal_system": "trigonal", "total_energy_ev_per_atom": -5.622, "raw_formation_energy_mev_per_atom": -485, "spacegroup": "R-3m (166)", "lattice": [[4.099, 0.000, 0.000], [2.050, 3.550, 0.000], [2.050, 1.183, 11.252]], "species": ["Pm", "Pm", "Th", "Cu", "Cu", "Si", "Si"], "fractional_positions": [[0.120, 0.120, 0.640], [0.880, 0.880, 0.360], [0.000, 0.000, 0.000], [0.606, 0.606, 0.181], [0.394, 0.394, 0.819], [0.729, 0.729, 0.814], [0.271, 0.271, 0.186]]}



{"formula": "PmTmCuSi", "functional": "PBE-GGA", "state": "relaxed", "m_tot_mub_per_cell": 0.00, "n_ef_per_ev_fu": 2.93, "crystal_system": "cubic", "polymorph_energy_mev_per_atom": 103.0, "total_energy_ev_per_atom": -5.086, "raw_formation_energy_mev_per_atom": -400, "spacegroup": "F-43m (216)", "lattice": [[-1.349, -4.442, -1.771], [3.149, -3.836, 0.251], [-0.901, -3.754, 3.129]], "species": ["Si", "Tm", "Cu", "Pm"], "fractional_positions": [[0.750, 0.750, 0.750], [0.000, 0.000, 0.000], [0.250, 0.250, 0.250], [0.500, 0.500, 0.500]]}



{"formula": "PmTmCuSi", "functional": "PBE-GGA", "state": "relaxed", "m_tot_mub_per_cell": 0.00, "n_ef_per_ev_fu": 3.31, "crystal_system": "orthorhombic", "polymorph_energy_mev_per_atom": 0.0, "total_energy_ev_per_atom": -5.189, "raw_formation_energy_mev_per_atom": -503, "spacegroup": "Amm2 (38)", "lattice": [[-2.594, -2.518, 1.854], [3.050, -1.486, 2.251], [0.335, 5.055, 2.883]], "species": ["Pm", "Tm", "Cu", "Si"], "fractional_positions": [[0.145, 0.000, 0.290], [0.866, 0.500, 0.731], [0.562, 0.500, 0.124], [0.427, 0.000, 0.855]]}



{"formula": "PmTmCu2Si2", "functional": "PBE-GGA", "state": "relaxed", "m_tot_mub_per_cell": 0.00, "n_ef_per_ev_fu": 1.59, "crystal_system": "trigonal", "total_energy_ev_per_atom": -5.368, "raw_formation_energy_mev_per_atom": -658, "spacegroup": "P-3m1 (164)", "lattice": [[4.173, 0.000, 0.000], [-2.087, 3.614, 0.000], [0.000, 0.000, 7.508]], "species": ["Pm", "Tm", "Cu", "Cu", "Si", "Si"], "fractional_positions": [[0.000, 0.000, 0.000], [0.000, 0.000, 0.500], [0.333, 0.667, 0.729], [0.667, 0.333, 0.271], [0.333, 0.667, 0.262], [0.667, 0.333, 0.738]]}



{"formula": "Pm2YCu2Si2", "functional": "PBE-GGA", "state": "relaxed", "m_tot_mub_per_cell": 0.68, "n_ef_per_ev_fu": 6.60, "crystal_system": "trigonal", "total_energy_ev_per_atom": -5.505, "raw_formation_energy_mev_per_atom": -504, "spacegroup": "R-3m (166)", "lattice": [[4.104, 0.000, 0.000], [2.052, 3.554, 0.000], [2.052, 1.185, 10.944]], "species": ["Pm", "Pm", "Y", "Cu", "Cu", "Si", "Si"], "fractional_positions": [[0.118, 0.118, 0.645], [0.882, 0.882, 0.355], [0.000, 0.000, 0.000], [0.608, 0.608, 0.177], [0.392, 0.392, 0.823], [0.726, 0.726, 0.823], [0.274, 0.274, 0.177]]}



{"formula": "PmYCu2Si2", "functional": "PBE-GGA", "state": "relaxed", "m_tot_mub_per_cell": 0.00, "n_ef_per_ev_fu": 2.00, "crystal_system": "trigonal", "total_energy_ev_per_atom": -5.703, "raw_formation_energy_mev_per_atom": -661, "spacegroup": "P-3m1 (164)", "lattice": [[-2.839, -2.189, 2.150], [3.490, 1.316, 1.886], [-3.521, 6.505, 1.976]], "species": ["Pm", "Y", "Cu", "Cu", "Si", "Si"], "fractional_positions": [[0.000, 0.000, 0.000], [0.000, 0.000, 0.500], [0.333, 0.667, 0.740], [0.667, 0.333, 0.260], [0.333, 0.667, 0.257], [0.667, 0.333, 0.743]]}



{"formula": "PmZn2Cu4Si", "functional": "PBE-GGA", "state": "relaxed", "m_tot_mub_per_cell": 0.00, "n_ef_per_ev_fu": 2.41, "crystal_system": "trigonal", "total_energy_ev_per_atom": -3.774, "raw_formation_energy_mev_per_atom": -136, "spacegroup": "R-3m (166)", "lattice": [[-0.055, 1.214, -3.955], [3.158, -0.948, -2.499], [-2.901, -7.238, -4.346]], "species": ["Pm", "Zn", "Zn", "Cu", "Cu", "Cu", "Cu", "Si"], "fractional_positions": [[0.000, 0.000, 0.000], [0.754, 0.754, 0.739], [0.246, 0.246, 0.261], [0.408, 0.408, 0.776], [0.864, 0.864, 0.407], [0.136, 0.136, 0.593], [0.592, 0.592, 0.224], [0.500, 0.500, 0.500]]}



{"formula": "PmZnCu2Si", "functional": "PBE-GGA", "state": "relaxed", "m_tot_mub_per_cell": 0.00, "n_ef_per_ev_fu": 2.21, "crystal_system": "orthorhombic", "total_energy_ev_per_atom": -4.318, "raw_formation_energy_mev_per_atom": -390, "spacegroup": "Imm2 (44)", "lattice": [[-2.787, -1.235, -2.779], [3.034, -0.791, -2.691], [0.209, -3.701, 4.496]], "species": ["Pm", "Zn", "Cu", "Cu", "Si"], "fractional_positions": [[0.439, 0.439, 0.879], [0.189, 0.689, 0.379], [0.701, 0.201, 0.402], [0.056, 0.056, 0.112], [0.827, 0.827, 0.653]]}



{"formula": "Pm2ZnCu3Si4", "functional": "PBE-GGA", "state": "relaxed", "m_tot_mub_per_cell": 0.00, "n_ef_per_ev_fu": 2.20, "crystal_system": "tetragonal", "total_energy_ev_per_atom": -4.996, "raw_formation_energy_mev_per_atom": -520, "spacegroup": "P-4m2 (115)", "lattice": [[4.071, 0.000, 0.000], [0.000, 4.071, 0.000], [0.000, 0.000, 10.126]], "species": ["Pm", "Pm", "Zn", "Cu", "Cu", "Cu", "Si", "Si", "Si", "Si"], "fractional_positions": [[0.500, 0.000, 0.249], [0.000, 0.500, 0.751], [0.500, 0.500, 0.500], [0.000, 0.000, 0.500], [0.500, 0.000, 0.872], [0.000, 0.500, 0.128], [0.500, 0.500, 0.000], [0.000, 0.000, 0.000], [0.500, 0.000, 0.639], [0.000, 0.500, 0.361]]}



{"formula": "PmZnCuSi", "functional": "PBE-GGA", "state": "relaxed", "m_tot_mub_per_cell": 0.00, "n_ef_per_ev_fu": 1.30, "crystal_system": "cubic", "total_energy_ev_per_atom": -4.041, "raw_formation_energy_mev_per_atom": -155, "spacegroup": "F-43m (216)", "lattice": [[-2.817, 0.142, -3.715], [-0.180, -3.624, -2.931], [-3.804, -2.695, -0.146]], "species": ["Zn", "Si", "Cu", "Pm"], "fractional_positions": [[0.000, 0.000, 0.000], [0.750, 0.750, 0.750], [0.500, 0.500, 0.500], [0.250, 0.250, 0.250]]}



{"formula": "Pm5SmCu6", "functional": "PBE-GGA", "state": "relaxed", "m_tot_mub_per_cell": 0.00, "n_ef_per_ev_fu": 7.89, "crystal_system": "triclinic", "total_energy_ev_per_atom": -4.587, "spacegroup": "P-1 (2)", "lattice": [[-1.085, -3.730, 3.252], [0.485, -4.717, -5.249], [7.078, -5.109, 0.477]], "species": ["Cu", "Cu", "Cu", "Cu", "Cu", "Cu", "Sm", "Pm", "Pm", "Pm", "Pm", "Pm"], "fractional_positions": [[0.834, 0.586, 0.331], [0.834, 0.083, 0.332], [0.500, 0.753, 0.999], [0.500, 0.247, 0.001], [0.166, 0.917, 0.668], [0.166, 0.414, 0.669], [0.000, 0.000, 0.000], [0.667, 0.167, 0.666], [0.333, 0.334, 0.333], [0.000, 0.500, 0.000], [0.667, 0.666, 0.667], [0.333, 0.833, 0.334]]}